[1]
4
Lattice="-0.0778 -0.0865 -2.9555 -0.1597 -2.6007 -1.3997 -6.0302 -0.6102 -1.3034" Properties=species:S:1:pos:R:3 comment="TaNO2 (SCAN, PBEsol geometry)" dft_energy_ry_per_atom=-1.5587 total_magnetization_mub_per_atom=0.342 raw_formation_energy_ev_per_fu=3.5 space_group="No. 166" pbc="T T T"
Ta 0.0000 0.0000 0.0000
O -2.1641 -2.5948 -4.3071
N -3.1338 -1.6487 -2.8293
O -4.1036 -0.7026 -1.3514


[2]
5
Lattice="-3.5729 2.4673 2.0311 -3.1827 -2.4723 -2.5954 -0.2883 -3.2831 3.4809" Properties=species:S:1:pos:R:3 comment="BaRuCl3 (SCAN, PBEsol geometry)" e_above_lowest_polymorph_mev_per_atom=0 dft_energy_ry_per_atom=-1.5415 total_magnetization_mub_per_atom=0.000 raw_formation_energy_ev_per_fu=-6.6 space_group="No. 221" pbc="T T T"
Ba -3.5220 -1.6441 1.4583
Cl -1.7864 1.2336 1.0156
Cl -0.1442 -1.6415 1.7405
Ru 0.0000 0.0000 0.0000
Cl -1.5914 -1.2362 -1.2977


[3]
5
Lattice="-0.4852 2.3634 4.0584 -4.6381 0.3997 -0.7872 -0.7582 -4.1813 2.3443" Properties=species:S:1:pos:R:3 comment="CuPSeBr2 (SCAN, PBEsol geometry)" dft_energy_ry_per_atom=-1.1942 total_magnetization_mub_per_atom=0.000 raw_formation_energy_ev_per_fu=3.4 space_group="No. 123" pbc="T T T"
Cu 0.0000 0.0000 0.0000
Br -2.3190 0.1999 -0.3936
Se -0.3791 -2.0906 1.1721
P -2.9407 -0.7091 2.8077
Br -0.2426 1.1817 2.0292


[4]
8
Lattice="4.9464 0.0000 0.0000 0.0000 4.9464 0.0000 -2.4732 -2.4732 9.9294" Properties=species:S:1:pos:R:3 comment="KZrAl2 (SCAN, PBEsol geometry)" e_above_lowest_polymorph_mev_per_atom=594 dft_energy_ry_per_atom=-0.9445 total_magnetization_mub_per_atom=0.000 delta_e_f_ev_per_atom=0.783 space_group="No. 122" pbc="T T T"
Al 0.4895 3.7098 2.4824
Zr 0.0000 0.0000 0.0000
Al -0.4895 1.2366 2.4824
Al 1.2366 1.9837 7.4471
Zr 0.0000 2.4732 4.9647
Al -1.2366 2.9627 7.4471
K 2.4732 0.0000 4.9647
K 2.4732 2.4732 0.0000


[5]
5
Lattice="3.5968 0.0000 0.0000 0.0000 5.1252 0.0000 0.0000 0.0000 5.1252" Properties=species:S:1:pos:R:3 comment="In2SiPtF (SCAN, PBEsol geometry)" dft_energy_ry_per_atom=-2.2323 total_magnetization_mub_per_atom=0.000 raw_formation_energy_ev_per_fu=-1.3 space_group="No. 123" pbc="T T T"
Pt 1.7984 2.5626 2.5626
In 0.0000 0.0000 2.5626
In 0.0000 2.5626 0.0000
Si 0.0000 0.0000 0.0000
F 1.7984 0.0000 0.0000


[6]
5
Lattice="4.1607 0.0000 0.0000 0.0000 4.1607 0.0000 -2.0804 -2.0804 5.3963" Properties=species:S:1:pos:R:3 comment="In2H2I (SCAN, PBEsol geometry)" dft_energy_ry_per_atom=-1.6131 total_magnetization_mub_per_atom=0.000 space_group="No. 139" pbc="T T T"
In 2.0804 2.0804 1.7792
H 0.0000 2.0804 2.6982
H 2.0804 0.0000 2.6982
I 0.0000 0.0000 0.0000
In 0.0000 0.0000 3.6172